Density functional theory data (GGA-PBE) for a geometry-optimized CuSe2Cl structure.

## Properties
* energy relative to the elements, uncorrected: -59 kJ/mol of formula units
* space group: No. 6
* DOS at the Fermi energy: 0.45 states/eV/cell
* V: 25.35 Å³ per atom
* excess energy over the best structure of this formula in the dataset: 0.139 eV per atom

Cell lengths 3.571, 4.100, 7.033 Å; angles 79.95, 90.00, 90.00 degrees
Positions (direct):
Cl  0.000  0.649  0.588
Se  0.500  0.305  0.108
Cu  0.500  0.627  0.794
Se  0.000  0.919  0.010

---

Density functional theory data (GGA-PBE) for a geometry-optimized Ce2PmSi6 structure.

## Properties
* energy relative to the elements, uncorrected: -308 kJ/mol of formula units
* space group: No. 71
* DOS at the Fermi energy: 5.92 states/eV/cell
* V: 21.66 Å³ per atom
* excess energy over the best structure of this formula in the dataset: 0.287 eV per atom

Cell lengths 3.888, 7.598, 7.598 Å; angles 65.75, 75.18, 75.18 degrees
Positions (direct):
Si  0.192  0.531  0.085
Si  0.000  0.219  0.781
Ce  0.619  0.881  0.881
Pm  0.500  0.500  0.500
Si  0.808  0.469  0.915
Si  0.808  0.915  0.469
Si  0.192  0.085  0.531
Si  0.000  0.781  0.219
Ce  0.381  0.119  0.119

---

Density functional theory data (GGA-PBE) for a geometry-optimized ScTlCr2 structure.

## Properties
* space group: No. 12
* DOS at the Fermi energy: 3.98 states/eV/cell
* V: 19.21 Å³ per atom
* E_form: 596 meV per atom

Cell lengths 5.554, 5.554, 3.033 Å; angles 76.94, 76.94, 115.11 degrees
Positions (direct):
Tl  0.000  0.500  0.500
Cr  0.000  0.000  0.000
Cr  0.500  0.500  0.000
Sc  0.500  0.000  0.500

---

Density functional theory data (GGA-PBE) for a geometry-optimized CaTbYSc structure.

## Properties
* space group: No. 216
* DOS at the Fermi energy: 6.93 states/eV/cell
* V: 31.51 Å³ per atom
* E_form: 170 meV per atom

Cell lengths 5.628, 5.628, 5.628 Å; angles 60.00, 60.00, 60.00 degrees
Positions (direct):
Ca  0.750  0.750  0.750
Tb  0.000  0.000  0.000
Y  0.500  0.500  0.500
Sc  0.250  0.250  0.250